First-principles (PBE) data for a geometry-optimized SmY4In2 structure, as listed in the Alexandria database.

a b c (Å): 8.367 6.622 8.505
angles (deg): 90.00 117.73 90.00
Element x y z (fractional)
Sm 0.248 0.250 0.174
Sm 0.752 0.750 0.826
Y 0.065 0.004 0.731
Y 0.065 0.496 0.731
Y 0.400 0.250 0.612
Y 0.459 0.750 0.962
Y 0.541 0.250 0.038
Y 0.600 0.750 0.388
Y 0.935 0.504 0.269
Y 0.935 0.996 0.269
In 0.170 0.750 0.107
In 0.304 0.750 0.538
In 0.696 0.250 0.462
In 0.830 0.250 0.893

Output
VASP energy	-37.39	eV/f.u.
magnetization	0.00	μB/cell
space-group type	P2_1/m (11)
V	29.79	Å³ per atom
D(E_F)	1.19	states/eV per atom
E_form	-192	meV/atom